SrTl2Ge | PBE | relaxed

The space group is R-3m (No. 166, hexagonal axes) and the conventional cell measures 4.3948, 4.3948 and 28.7210 Å, with angles of 90.00, 90.00 and 120.00 degrees. The distinct sites, in fractional coordinates, are Sr at (0.0000, 0.0000, 0.0000), Tl at (0.0000, 0.0000, 0.1181) and Ge at (0.0000, 0.0000, 0.5000).

The value obtained for the energy relative to the lowest polymorph listed for this composition is 0.397 eV per atom. The raw total energy is -2.559 eV per atom. The value obtained for the total moment is 0.0 μB/f.u. The calculation puts the energy of formation from the pure elements at 0.8 eV/f.u.